# MgAlSb PBE relaxed
data_MgAlSb
_chemical_formula_sum 'Mg1 Al1 Sb1'
_symmetry_space_group_name_H-M 'P -6 m 2'
_symmetry_Int_Tables_number 187
_symmetry_space_group_name_Hall 'P -6 2'
_cell_length_a 4.9766
_cell_length_b 4.9766
_cell_length_c 3.1605
_cell_angle_alpha 90.00
_cell_angle_beta 90.00
_cell_angle_gamma 120.00
loop_
_atom_site_label
_atom_site_fract_x
_atom_site_fract_y
_atom_site_fract_z
Mg1 0.0000 0.0000 0.0000
Al1 0.3333 0.6667 0.5000
Sb1 0.6667 0.3333 0.5000
# Uncorrected formation energy   49 meV/atom
# Crystal system   hexagonal

=====

# TmPuMnIr PBE relaxed
data_TmPuMnIr
_chemical_formula_sum 'Tm4 Pu4 Mn4 Ir4'
_symmetry_space_group_name_H-M 'F -4 3 m'
_symmetry_Int_Tables_number 216
_symmetry_space_group_name_Hall 'F -4 2 3'
_cell_length_a 6.791
_cell_length_b 6.791
_cell_length_c 6.791
_cell_angle_alpha 90.00
_cell_angle_beta 90.00
_cell_angle_gamma 90.00
loop_
_atom_site_label
_atom_site_fract_x
_atom_site_fract_y
_atom_site_fract_z
Tm1 0.000 0.000 0.000
Pu1 0.000 0.000 0.500
Mn1 0.250 0.250 0.750
Ir1 0.250 0.250 0.250
# Crystal system   cubic
# Energy of formation   -0.33 eV per atom

=====

# SrSb6Au12 PBE relaxed
data_SrSb6Au12
_chemical_formula_sum 'Sr3 Sb18 Au36'
_symmetry_space_group_name_H-M 'R -3'
_symmetry_Int_Tables_number 148
_symmetry_space_group_name_Hall '-R 3'
_cell_length_a 14.7335
_cell_length_b 14.7335
_cell_length_c 7.1255
_cell_angle_alpha 90.00
_cell_angle_beta 90.00
_cell_angle_gamma 120.00
loop_
_atom_site_label
_atom_site_fract_x
_atom_site_fract_y
_atom_site_fract_z
Sr1 0.0000 0.0000 0.0000
Sb1 0.0373 0.2375 0.2053
Au1 0.0412 0.6184 0.8111
Au2 0.0561 0.1609 0.6327
# Uncorrected formation energy   -121 meV/atom
# Crystal system   trigonal

=====

# Hf2SbTe2 PBE relaxed
data_Hf2SbTe2
_chemical_formula_sum 'Hf8 Sb4 Te8'
_symmetry_space_group_name_H-M 'I m m a'
_symmetry_Int_Tables_number 74
_symmetry_space_group_name_Hall '-I 2b 2'
_cell_length_a 5.387
_cell_length_b 9.240
_cell_length_c 10.907
_cell_angle_alpha 90.00
_cell_angle_beta 90.00
_cell_angle_gamma 90.00
loop_
_atom_site_label
_atom_site_fract_x
_atom_site_fract_y
_atom_site_fract_z
Hf1 0.000 0.250 0.080
Hf2 0.000 0.250 0.640
Sb1 0.000 0.250 0.369
Te1 0.000 0.069 0.859
# Uncorrected formation energy   -437 meV/atom
# Crystal system   orthorhombic

=====

# Cd2InSn2 PBE relaxed
data_Cd2InSn2
_chemical_formula_sum 'Cd4 In2 Sn4'
_symmetry_space_group_name_H-M 'I 4/m m m'
_symmetry_Int_Tables_number 139
_symmetry_space_group_name_Hall '-I 4 2'
_cell_length_a 4.761
_cell_length_b 4.761
_cell_length_c 12.736
_cell_angle_alpha 90.00
_cell_angle_beta 90.00
_cell_angle_gamma 90.00
loop_
_atom_site_label
_atom_site_fract_x
_atom_site_fract_y
_atom_site_fract_z
Cd1 0.000 0.500 0.250
In1 0.000 0.000 0.000
Sn1 0.000 0.000 0.388
# Crystal system   tetragonal
# Energy of formation   0.09 eV per atom

=====

# KSr2Cl PBE relaxed
data_KSr2Cl
_chemical_formula_sum 'K1 Sr2 Cl1'
_symmetry_space_group_name_H-M 'P 1 m 1'
_symmetry_Int_Tables_number 6
_symmetry_space_group_name_Hall 'P -2y'
_cell_length_a 4.230
_cell_length_b 4.052
_cell_length_c 10.974
_cell_angle_alpha 90.00
_cell_angle_beta 101.08
_cell_angle_gamma 90.00
loop_
_atom_site_label
_atom_site_fract_x
_atom_site_fract_y
_atom_site_fract_z
K1 0.000 0.000 0.000
Sr1 0.327 0.500 0.656
Sr2 0.683 0.000 0.368
Cl1 0.575 0.500 0.150
# Uncorrected formation energy   -831 meV/atom
# Crystal system   monoclinic